The following is a PBE calculation of a relaxed structure of GaCu2Tc, from the Alexandria database.

Summary:
Electronic total energy: -5.4089 eV per atom
Density of states at the Fermi level: 2.07 states/eV per cell
ΔH_f (0 K): -0.013 eV per atom
Total magnetization: 0.358 μB/cell

```
data_GaCu2Tc
_chemical_formula_sum 'Ga1 Cu2 Tc1'
_cell_length_a 3.671
_cell_length_b 3.671
_cell_length_c 3.950
_cell_angle_alpha 90.00
_cell_angle_beta 90.00
_cell_angle_gamma 90.00
_space_group_name_H-M_alt 'P 4/m m m'
_space_group_IT_number 123
_space_group_name_Hall '-P 4 2'
loop_
_atom_site_label
_atom_site_type_symbol
_atom_site_fract_x
_atom_site_fract_y
_atom_site_fract_z
_atom_site_occupancy
Ga1 Ga 0.000 0.000 0.000 1
Cu1 Cu 0.000 0.500 0.500 1
Tc1 Tc 0.500 0.500 0.000 1
```